# CoTc2Au, relaxed, DFT PBE-GGA
# Formation energy ... 0.291 eV/atom
data_CoTc2Au
_chemical_formula_sum 'Co2 Tc4 Au2'
_space_group_name_H-M_alt 'P 1'
_space_group_IT_number 1
_cell_length_a 9.186
_cell_length_b 2.750
_cell_length_c 4.656
_cell_angle_alpha 90.00
_cell_angle_beta 100.99
_cell_angle_gamma 90.00
loop_
_space_group_symop_operation_xyz
'x,y,z'
loop_
_atom_site_label
_atom_site_fract_x
_atom_site_fract_y
_atom_site_fract_z
Co1 0.000 0.000 0.000
Co2 0.500 0.500 0.000
Tc1 0.241 0.500 0.228
Tc2 0.259 0.000 0.772
Tc3 0.741 0.000 0.228
Tc4 0.759 0.500 0.772
Au1 0.000 0.500 0.500
Au2 0.500 0.000 0.500

---

# CeScC, relaxed, DFT PBE-GGA
# Formation energy ... 0.070 eV/atom
data_CeScC
_chemical_formula_sum 'Ce4 Sc4 C4'
_space_group_name_H-M_alt 'P 1'
_space_group_IT_number 1
_cell_length_a 5.961
_cell_length_b 5.961
_cell_length_c 5.961
_cell_angle_alpha 90.00
_cell_angle_beta 90.00
_cell_angle_gamma 90.00
loop_
_space_group_symop_operation_xyz
'x,y,z'
loop_
_atom_site_label
_atom_site_fract_x
_atom_site_fract_y
_atom_site_fract_z
Ce1 0.000 0.000 0.000
Ce2 0.000 0.500 0.500
Ce3 0.500 0.000 0.500
Ce4 0.500 0.500 0.000
Sc1 0.000 0.000 0.500
Sc2 0.000 0.500 0.000
Sc3 0.500 0.000 0.000
Sc4 0.500 0.500 0.500
C1 0.250 0.250 0.750
C2 0.250 0.750 0.250
C3 0.750 0.250 0.250
C4 0.750 0.750 0.750

---

# Eu3In5Br12, relaxed, DFT PBE-GGA
# Formation energy from raw total energies ... -1.15 eV per atom
data_Eu3In5Br12
_chemical_formula_sum 'Eu12 In20 Br48'
_space_group_name_H-M_alt 'P 1'
_space_group_IT_number 1
_cell_length_a 15.912
_cell_length_b 15.912
_cell_length_c 15.912
_cell_angle_alpha 109.47
_cell_angle_beta 109.47
_cell_angle_gamma 109.47
loop_
_space_group_symop_operation_xyz
'x,y,z'
loop_
_atom_site_label
_atom_site_fract_x
_atom_site_fract_y
_atom_site_fract_z
Eu1 0.125 0.250 0.375
Eu2 0.125 0.375 0.750
Eu3 0.250 0.375 0.125
Eu4 0.250 0.875 0.625
Eu5 0.375 0.125 0.250
Eu6 0.375 0.750 0.125
Eu7 0.625 0.250 0.875
Eu8 0.625 0.875 0.750
Eu9 0.750 0.125 0.375
Eu10 0.750 0.625 0.875
Eu11 0.875 0.625 0.250
Eu12 0.875 0.750 0.625
In1 0.000 0.000 0.000
In2 0.000 0.000 0.500
In3 0.000 0.500 0.000
In4 0.000 0.500 0.500
In5 0.125 0.750 0.875
In6 0.125 0.875 0.250
In7 0.250 0.125 0.875
In8 0.250 0.625 0.375
In9 0.375 0.250 0.625
In10 0.375 0.625 0.750
In11 0.500 0.000 0.000
In12 0.500 0.000 0.500
In13 0.500 0.500 0.000
In14 0.500 0.500 0.500
In15 0.625 0.375 0.250
In16 0.625 0.750 0.375
In17 0.750 0.375 0.625
In18 0.750 0.875 0.125
In19 0.875 0.125 0.750
In20 0.875 0.250 0.125
Br1 0.063 0.232 0.131
Br2 0.063 0.331 0.932
Br3 0.068 0.631 0.399
Br4 0.068 0.937 0.669
Br5 0.101 0.732 0.669
Br6 0.101 0.869 0.432
Br7 0.131 0.063 0.232
Br8 0.131 0.568 0.899
Br9 0.169 0.232 0.601
Br10 0.169 0.437 0.568
Br11 0.232 0.131 0.063
Br12 0.232 0.601 0.169
Br13 0.268 0.331 0.899
Br14 0.268 0.437 0.369
Br15 0.331 0.899 0.268
Br16 0.331 0.932 0.063
Br17 0.369 0.268 0.437
Br18 0.369 0.601 0.932
Br19 0.399 0.068 0.631
Br20 0.399 0.831 0.768
Br21 0.432 0.101 0.869
Br22 0.432 0.831 0.563
Br23 0.437 0.369 0.268
Br24 0.437 0.568 0.169
Br25 0.563 0.432 0.831
Br26 0.563 0.631 0.732
Br27 0.568 0.169 0.437
Br28 0.568 0.899 0.131
Br29 0.601 0.169 0.232
Br30 0.601 0.932 0.369
Br31 0.631 0.399 0.068
Br32 0.631 0.732 0.563
Br33 0.669 0.068 0.937
Br34 0.669 0.101 0.732
Br35 0.732 0.563 0.631
Br36 0.732 0.669 0.101
Br37 0.768 0.399 0.831
Br38 0.768 0.869 0.937
Br39 0.831 0.563 0.432
Br40 0.831 0.768 0.399
Br41 0.869 0.432 0.101
Br42 0.869 0.937 0.768
Br43 0.899 0.131 0.568
Br44 0.899 0.268 0.331
Br45 0.932 0.063 0.331
Br46 0.932 0.369 0.601
Br47 0.937 0.669 0.068
Br48 0.937 0.768 0.869

---

# BaCu2Sn8, relaxed, DFT PBE-GGA
# Formation energy ... -0.027 eV/atom
data_BaCu2Sn8
_chemical_formula_sum 'Ba1 Cu2 Sn8'
_space_group_name_H-M_alt 'P 1'
_space_group_IT_number 1
_cell_length_a 6.304
_cell_length_b 6.304
_cell_length_c 9.030
_cell_angle_alpha 90.00
_cell_angle_beta 90.00
_cell_angle_gamma 90.00
loop_
_space_group_symop_operation_xyz
'x,y,z'
loop_
_atom_site_label
_atom_site_fract_x
_atom_site_fract_y
_atom_site_fract_z
Ba1 0.000 0.000 0.000
Cu1 0.000 0.500 0.500
Cu2 0.500 0.000 0.500
Sn1 0.254 0.254 0.317
Sn2 0.254 0.254 0.683
Sn3 0.254 0.746 0.317
Sn4 0.254 0.746 0.683
Sn5 0.746 0.254 0.317
Sn6 0.746 0.254 0.683
Sn7 0.746 0.746 0.317
Sn8 0.746 0.746 0.683

---

# CsIn2PbAu4, relaxed, DFT PBE-GGA
# Formation energy ... -0.154 eV/atom
data_CsIn2PbAu4
_chemical_formula_sum 'Cs1 In2 Pb1 Au4'
_space_group_name_H-M_alt 'P 1'
_space_group_IT_number 1
_cell_length_a 12.163
_cell_length_b 12.163
_cell_length_c 12.163
_cell_angle_alpha 22.34
_cell_angle_beta 22.34
_cell_angle_gamma 22.34
loop_
_space_group_symop_operation_xyz
'x,y,z'
loop_
_atom_site_label
_atom_site_fract_x
_atom_site_fract_y
_atom_site_fract_z
Cs1 0.000 0.000 0.000
In1 0.244 0.244 0.244
In2 0.756 0.756 0.756
Pb1 0.500 0.500 0.500
Au1 0.118 0.118 0.118
Au2 0.410 0.410 0.410
Au3 0.590 0.590 0.590
Au4 0.882 0.882 0.882

---

# NaThGeN3, relaxed, DFT PBE-GGA
# Formation energy from raw total energies ... -0.54 eV per atom
data_NaThGeN3
_chemical_formula_sum 'Na2 Th2 Ge2 N6'
_space_group_name_H-M_alt 'P 1'
_space_group_IT_number 1
_cell_length_a 7.076
_cell_length_b 3.619
_cell_length_c 8.774
_cell_angle_alpha 90.00
_cell_angle_beta 98.18
_cell_angle_gamma 90.00
loop_
_space_group_symop_operation_xyz
'x,y,z'
loop_
_atom_site_label
_atom_site_fract_x
_atom_site_fract_y
_atom_site_fract_z
Na1 0.140 0.250 0.121
Na2 0.860 0.750 0.879
Th1 0.372 0.750 0.842
Th2 0.628 0.250 0.158
Ge1 0.057 0.250 0.620
Ge2 0.943 0.750 0.380
N1 0.115 0.250 0.826
N2 0.144 0.750 0.547
N3 0.419 0.750 0.106
N4 0.581 0.250 0.894
N5 0.856 0.250 0.453
N6 0.885 0.750 0.174

---

# HoTh3Pt12, relaxed, DFT PBE-GGA
# Formation energy ... -1.114 eV/atom
data_HoTh3Pt12
_chemical_formula_sum 'Ho1 Th3 Pt12'
_space_group_name_H-M_alt 'P 1'
_space_group_IT_number 1
_cell_length_a 4.205
_cell_length_b 4.205
_cell_length_c 16.813
_cell_angle_alpha 90.00
_cell_angle_beta 90.00
_cell_angle_gamma 90.00
loop_
_space_group_symop_operation_xyz
'x,y,z'
loop_
_atom_site_label
_atom_site_fract_x
_atom_site_fract_y
_atom_site_fract_z
Ho1 0.000 0.000 0.000
Th1 0.000 0.000 0.244
Th2 0.000 0.000 0.500
Th3 0.000 0.000 0.756
Pt1 0.000 0.500 0.121
Pt2 0.000 0.500 0.374
Pt3 0.000 0.500 0.626
Pt4 0.000 0.500 0.879
Pt5 0.500 0.000 0.121
Pt6 0.500 0.000 0.374
Pt7 0.500 0.000 0.626
Pt8 0.500 0.000 0.879
Pt9 0.500 0.500 0.000
Pt10 0.500 0.500 0.248
Pt11 0.500 0.500 0.500
Pt12 0.500 0.500 0.752

---

# Gd2AlO, relaxed, DFT PBE-GGA
# Formation energy from raw total energies ... -1.47 eV per atom
data_Gd2AlO
_chemical_formula_sum 'Gd6 Al3 O3'
_space_group_name_H-M_alt 'P 1'
_space_group_IT_number 1
_cell_length_a 3.571
_cell_length_b 3.571
_cell_length_c 22.396
_cell_angle_alpha 90.00
_cell_angle_beta 90.00
_cell_angle_gamma 120.00
loop_
_space_group_symop_operation_xyz
'x,y,z'
loop_
_atom_site_label
_atom_site_fract_x
_atom_site_fract_y
_atom_site_fract_z
Gd1 0.000 0.000 0.229
Gd2 0.000 0.000 0.771
Gd3 0.333 0.667 0.438
Gd4 0.333 0.667 0.896
Gd5 0.667 0.333 0.104
Gd6 0.667 0.333 0.562
Al1 0.000 0.000 0.000
Al2 0.333 0.667 0.667
Al3 0.667 0.333 0.333
O1 0.000 0.000 0.500
O2 0.333 0.667 0.167
O3 0.667 0.333 0.833

---

Copy entry 3 word for word.
# Eu3In5Br12, relaxed, DFT PBE-GGA
# Formation energy from raw total energies ... -1.15 eV per atom
data_Eu3In5Br12
_chemical_formula_sum 'Eu12 In20 Br48'
_space_group_name_H-M_alt 'P 1'
_space_group_IT_number 1
_cell_length_a 15.912
_cell_length_b 15.912
_cell_length_c 15.912
_cell_angle_alpha 109.47
_cell_angle_beta 109.47
_cell_angle_gamma 109.47
loop_
_space_group_symop_operation_xyz
'x,y,z'
loop_
_atom_site_label
_atom_site_fract_x
_atom_site_fract_y
_atom_site_fract_z
Eu1 0.125 0.250 0.375
Eu2 0.125 0.375 0.750
Eu3 0.250 0.375 0.125
Eu4 0.250 0.875 0.625
Eu5 0.375 0.125 0.250
Eu6 0.375 0.750 0.125
Eu7 0.625 0.250 0.875
Eu8 0.625 0.875 0.750
Eu9 0.750 0.125 0.375
Eu10 0.750 0.625 0.875
Eu11 0.875 0.625 0.250
Eu12 0.875 0.750 0.625
In1 0.000 0.000 0.000
In2 0.000 0.000 0.500
In3 0.000 0.500 0.000
In4 0.000 0.500 0.500
In5 0.125 0.750 0.875
In6 0.125 0.875 0.250
In7 0.250 0.125 0.875
In8 0.250 0.625 0.375
In9 0.375 0.250 0.625
In10 0.375 0.625 0.750
In11 0.500 0.000 0.000
In12 0.500 0.000 0.500
In13 0.500 0.500 0.000
In14 0.500 0.500 0.500
In15 0.625 0.375 0.250
In16 0.625 0.750 0.375
In17 0.750 0.375 0.625
In18 0.750 0.875 0.125
In19 0.875 0.125 0.750
In20 0.875 0.250 0.125
Br1 0.063 0.232 0.131
Br2 0.063 0.331 0.932
Br3 0.068 0.631 0.399
Br4 0.068 0.937 0.669
Br5 0.101 0.732 0.669
Br6 0.101 0.869 0.432
Br7 0.131 0.063 0.232
Br8 0.131 0.568 0.899
Br9 0.169 0.232 0.601
Br10 0.169 0.437 0.568
Br11 0.232 0.131 0.063
Br12 0.232 0.601 0.169
Br13 0.268 0.331 0.899
Br14 0.268 0.437 0.369
Br15 0.331 0.899 0.268
Br16 0.331 0.932 0.063
Br17 0.369 0.268 0.437
Br18 0.369 0.601 0.932
Br19 0.399 0.068 0.631
Br20 0.399 0.831 0.768
Br21 0.432 0.101 0.869
Br22 0.432 0.831 0.563
Br23 0.437 0.369 0.268
Br24 0.437 0.568 0.169
Br25 0.563 0.432 0.831
Br26 0.563 0.631 0.732
Br27 0.568 0.169 0.437
Br28 0.568 0.899 0.131
Br29 0.601 0.169 0.232
Br30 0.601 0.932 0.369
Br31 0.631 0.399 0.068
Br32 0.631 0.732 0.563
Br33 0.669 0.068 0.937
Br34 0.669 0.101 0.732
Br35 0.732 0.563 0.631
Br36 0.732 0.669 0.101
Br37 0.768 0.399 0.831
Br38 0.768 0.869 0.937
Br39 0.831 0.563 0.432
Br40 0.831 0.768 0.399
Br41 0.869 0.432 0.101
Br42 0.869 0.937 0.768
Br43 0.899 0.131 0.568
Br44 0.899 0.268 0.331
Br45 0.932 0.063 0.331
Br46 0.932 0.369 0.601
Br47 0.937 0.669 0.068
Br48 0.937 0.768 0.869